Record 1
# ZnSb2Pt2 PBE-GGA optimized geometry
# **Raw formation energy**: -2.041 kcal/mol of atoms
# **Space group**: I4/mmm, No. 139
# **E above lowest polymorph**: 86 meV per atom
data_ZnSb2Pt2
_chemical_formula_sum 'Zn1 Sb2 Pt2'
_symmetry_space_group_name_H-M 'P 1'
_symmetry_Int_Tables_number 1
_cell_length_a 3.931
_cell_length_b 3.931
_cell_length_c 7.882
_cell_angle_alpha 75.56
_cell_angle_beta 75.56
_cell_angle_gamma 90.00
loop_
_symmetry_equiv_pos_as_xyz
'x,y,z'
loop_
_atom_site_label
_atom_site_fract_x
_atom_site_fract_y
_atom_site_fract_z
_atom_site_occupancy
Sb1 0.378 0.378 0.244 1
Sb2 0.622 0.622 0.756 1
Zn1 0.000 0.000 0.000 1
Pt1 0.750 0.250 0.500 1
Pt2 0.250 0.750 0.500 1


Record 2
# Te4Pb8Se3S PBE-GGA optimized geometry
# **Raw formation energy**: -10.867 kcal/mol of atoms
# **Space group**: R-3m, No. 166
data_Te4Pb8Se3S
_chemical_formula_sum 'Te4 Pb8 Se3 S1'
_symmetry_space_group_name_H-M 'P 1'
_symmetry_Int_Tables_number 1
_cell_length_a 8.986
_cell_length_b 8.989
_cell_length_c 8.986
_cell_angle_alpha 119.99
_cell_angle_beta 120.00
_cell_angle_gamma 90.00
loop_
_symmetry_equiv_pos_as_xyz
'x,y,z'
loop_
_atom_site_label
_atom_site_fract_x
_atom_site_fract_y
_atom_site_fract_z
_atom_site_occupancy
Te1 0.500 0.000 0.000 1
Te2 0.500 0.000 0.500 1
Te3 0.000 0.000 0.000 1
Te4 0.000 0.000 0.500 1
Pb1 0.241 0.731 0.990 1
Pb2 0.241 0.731 0.482 1
Pb3 0.255 0.266 0.511 1
Pb4 0.748 0.731 0.990 1
Pb5 0.252 0.269 0.010 1
Pb6 0.745 0.734 0.489 1
Pb7 0.759 0.269 0.518 1
Pb8 0.759 0.269 0.010 1
Se1 0.500 0.500 0.000 1
Se2 0.500 0.500 0.500 1
Se3 0.000 0.500 0.500 1
S1 0.000 0.500 0.000 1


Record 3
# Cu5GeSe4Cl2 PBE-GGA optimized geometry
# **Raw formation energy**: -5.845 kcal/mol of atoms
# **Space group**: Amm2, No. 38
data_Cu5GeSe4Cl2
_chemical_formula_sum 'Cu5 Ge1 Se4 Cl2'
_symmetry_space_group_name_H-M 'P 1'
_symmetry_Int_Tables_number 1
_cell_length_a 5.925
_cell_length_b 6.993
_cell_length_c 7.572
_cell_angle_alpha 90.00
_cell_angle_beta 90.00
_cell_angle_gamma 115.06
loop_
_symmetry_equiv_pos_as_xyz
'x,y,z'
loop_
_atom_site_label
_atom_site_fract_x
_atom_site_fract_y
_atom_site_fract_z
_atom_site_occupancy
Cu1 0.055 0.219 0.226 1
Cu2 0.359 0.000 0.500 1
Cu3 0.055 0.219 0.774 1
Cu4 0.837 0.781 0.774 1
Cu5 0.837 0.781 0.226 1
Ge1 0.402 0.000 0.000 1
Se1 0.630 0.000 0.266 1
Se2 0.630 0.000 0.734 1
Se3 0.353 0.325 0.000 1
Se4 0.028 0.675 0.000 1
Cl1 0.963 0.706 0.500 1
Cl2 0.257 0.294 0.500 1


Record 4
# FeSbPb3 PBE-GGA optimized geometry
# **Raw formation energy**: 7.132 kcal/mol of atoms
# **Space group**: Pm-3m, No. 221
# **E above lowest polymorph**: 0 meV per atom
data_FeSbPb3
_chemical_formula_sum 'Fe1 Sb1 Pb3'
_symmetry_space_group_name_H-M 'P 1'
_symmetry_Int_Tables_number 1
_cell_length_a 5.149
_cell_length_b 5.149
_cell_length_c 5.149
_cell_angle_alpha 90.00
_cell_angle_beta 90.00
_cell_angle_gamma 90.00
loop_
_symmetry_equiv_pos_as_xyz
'x,y,z'
loop_
_atom_site_label
_atom_site_fract_x
_atom_site_fract_y
_atom_site_fract_z
_atom_site_occupancy
Pb1 0.000 0.500 0.000 1
Pb2 0.000 0.000 0.500 1
Pb3 0.500 0.000 0.000 1
Sb1 0.500 0.500 0.500 1
Fe1 0.000 0.000 0.000 1


Record 5
# SrSmY2 PBE-GGA optimized geometry
# **ΔH_f (0 K)**: 0.1180 eV/atom
# **Space group**: P4/mmm, No. 123
# **E above lowest polymorph**: 4 meV per atom
data_SrSmY2
_chemical_formula_sum 'Sr1 Sm1 Y2'
_symmetry_space_group_name_H-M 'P 1'
_symmetry_Int_Tables_number 1
_cell_length_a 3.720
_cell_length_b 3.720
_cell_length_c 10.643
_cell_angle_alpha 90.00
_cell_angle_beta 90.00
_cell_angle_gamma 90.00
loop_
_symmetry_equiv_pos_as_xyz
'x,y,z'
loop_
_atom_site_label
_atom_site_fract_x
_atom_site_fract_y
_atom_site_fract_z
_atom_site_occupancy
Y1 0.000 0.000 0.778 1
Y2 0.000 0.000 0.222 1
Sr1 0.500 0.500 0.500 1
Sm1 0.500 0.500 0.000 1


Record 6
# SrCoAsBr2 PBE-GGA optimized geometry
# **Raw formation energy**: -13.344 kcal/mol of atoms
# **Space group**: P4/mmm, No. 123
# **E above lowest polymorph**: 0 meV per atom
data_SrCoAsBr2
_chemical_formula_sum 'Sr1 Co1 As1 Br2'
_symmetry_space_group_name_H-M 'P 1'
_symmetry_Int_Tables_number 1
_cell_length_a 5.162
_cell_length_b 5.162
_cell_length_c 4.589
_cell_angle_alpha 90.00
_cell_angle_beta 90.00
_cell_angle_gamma 90.00
loop_
_symmetry_equiv_pos_as_xyz
'x,y,z'
loop_
_atom_site_label
_atom_site_fract_x
_atom_site_fract_y
_atom_site_fract_z
_atom_site_occupancy
Sr1 0.500 0.500 0.500 1
As1 0.000 0.000 0.500 1
Co1 0.000 0.000 0.000 1
Br1 0.000 0.500 0.000 1
Br2 0.500 0.000 0.000 1